CuCO3: relaxed, GGA-PBE.

Unit cell a=3.650 b=3.650 c=3.650 alpha=90.00 beta=90.00 gamma=90.00
Sites, in units of the cell vectors:
1 Cu 0.000 0.000 0.000
2 C 0.500 0.500 0.500
3 O 0.000 0.000 0.500
4 O 0.000 0.500 0.000
5 O 0.500 0.000 0.000

Properties
**ΔE_f (raw)**: 1.56 eV per atom
**ρ**: 4.2 Mg/m³
**Symmetry**: Pm-3m
**E_tot**: -4.08 eV/atom

***

SmThCu2Si2: relaxed, GGA-PBE.

Unit cell a=4.148 b=4.148 c=8.071 alpha=90.00 beta=90.00 gamma=120.00
Sites, in units of the cell vectors:
1 Sm 0.000 0.000 0.000
2 Th 0.000 0.000 0.500
3 Cu 0.333 0.667 0.748
4 Cu 0.667 0.333 0.252
5 Si 0.333 0.667 0.248
6 Si 0.667 0.333 0.752

Properties
**ΔE_f (raw)**: -0.65 eV per atom
**ρ**: 7.8 Mg/m³
**Symmetry**: P-3m1
**E_tot**: -5.84 eV/atom

***

Q: Look up the E_tot of the first one.
A: -4.08 eV/atom